(1)
Compound: GaTe3S
Source: Alexandria
Functional: GGA-PBE
Structure: optimized geometry

Geometry as POSCAR:
```
GaTe3S
1.0
5.328 0.000 0.000
0.000 5.328 0.000
0.000 0.000 5.328
Ga Te S
1 3 1
direct
0.000 0.000 0.000
0.000 0.500 0.500
0.500 0.000 0.500
0.500 0.500 0.000
0.500 0.500 0.500
```

Values from the calculation:
- distance to the lowest polymorph of the same formula (eV/atom) = 0.000
- SG = No. 221
- formation energy without anion corrections (eV/atom) = 0.37

***

(2)
Compound: Pm4NdHo3
Source: Alexandria
Functional: GGA-PBE
Structure: optimized geometry

Geometry as POSCAR:
```
Pm4NdHo3
1.0
13.051 -2.874 0.000
13.051 2.874 0.000
-0.003 0.000 3.614
Pm Nd Ho
4 1 3
direct
0.105 0.105 0.001
0.224 0.224 0.999
0.776 0.776 0.001
0.895 0.895 0.999
0.000 0.000 0.500
0.348 0.348 0.500
0.500 0.500 0.000
0.652 0.652 0.500
```

Values from the calculation:
- distance to the lowest polymorph of the same formula (eV/atom) = 0.185
- ΔH_f (0 K) (eV per atom) = 0.21
- SG = No. 12

***

(3)
Compound: Tb5Cd2Ir2Ru
Source: Alexandria
Functional: GGA-PBE
Structure: optimized geometry

Geometry as POSCAR:
```
Tb5Cd2Ir2Ru
1.0
11.623 0.000 0.000
0.000 11.623 0.000
0.000 0.000 3.588
Tb Cd Ir Ru
10 4 4 2
direct
0.000 0.500 0.000
0.068 0.195 0.000
0.195 0.932 0.000
0.305 0.432 0.000
0.432 0.695 0.000
0.500 0.000 0.000
0.568 0.305 0.000
0.695 0.568 0.000
0.805 0.068 0.000
0.932 0.805 0.000
0.180 0.680 0.500
0.320 0.180 0.500
0.680 0.820 0.500
0.820 0.320 0.500
0.134 0.366 0.500
0.366 0.866 0.500
0.634 0.134 0.500
0.866 0.634 0.500
0.000 0.000 0.500
0.500 0.500 0.500
```

Values from the calculation:
- ΔH_f (0 K) (eV per atom) = -0.46
- SG = No. 127

***

no.,uncorrected energy (eV per cell)
1,-14.72
2,-35.82
3,-113.23